Below is TbYGaPt after structural relaxation, with properties calculated at the GGA-PBE level.

theoretical density = 9.20 g/cm3
symmetry = Amm2
magnetization = 0.000 μB/atom
ΔE to the lowest computed polymorph = 0.000 eV per atom
formation enthalpy at 0 K = -0.942 eV/atom
E = -5.982 eV/atom

abc: 4.4298 5.8183 5.8183
angles: 38.08 90.00 90.00
Closest atoms and distances in Å follow each position.
Sites, in units of the cell vectors:
Tb 0.0000 0.0000 0.0000  4 Pt 3.00, 3 Ga 3.06-3.09
Y 0.5000 0.7162 0.7162  4 Ga 3.00, 3 Pt 3.07-3.08
Ga 0.0000 0.2813 0.2813  2 Pt 2.79, 4 Y 3.00, 3 Tb 3.06-3.09
Pt 0.5000 0.4358 0.4358  2 Ga 2.79, 4 Tb 3.00, 3 Y 3.07-3.08